# PBE+U Fe2TeF, relaxed
# Total moment in μB per formula unit: 7.0
# Final energy in eV/atom: -4.5004
# V in A^3/atom: 20.667
# DOS(E_F) in states/eV/cell: 2.50
data_Fe2TeF
_cell_length_a 7.4096
_cell_length_b 7.4096
_cell_length_c 7.4096
_cell_angle_alpha 140.19
_cell_angle_beta 140.19
_cell_angle_gamma 57.57
_symmetry_space_group_name_H-M 'P 1'
_symmetry_Int_Tables_number 1
loop_
_symmetry_equiv_pos_as_xyz
'x,y,z'
loop_
_atom_site_label
_atom_site_type_symbol
_atom_site_fract_x
_atom_site_fract_y
_atom_site_fract_z
Fe1 Fe 0.0220 0.6250 0.8970
Fe2 Fe 0.3750 0.2720 0.3970
Fe3 Fe 0.7280 0.1250 0.1030
Fe4 Fe 0.8750 0.9780 0.6030
Te1 Te 0.2500 0.7500 0.5000
Te2 Te 0.5000 0.5000 0.0000
F1 F 0.0000 0.0000 0.0000
F2 F 0.7500 0.2500 0.5000